#a
DFT (GGA-PBE) results for crystalline RbSi2W at its relaxed geometry.

abc: 4.802 4.802 4.802
angles: 60.00 60.00 60.00
Each line ends with the local moment (μB).
Sites, in units of the cell vectors:
Rb: 0.000 0.000 0.000  0.03
W: 0.500 0.500 0.500  1.56
Si: 0.250 0.250 0.250  -0.02
Si: 0.750 0.750 0.750  -0.02

Properties
Its density is 6.90 Mg/m³.

#b
DFT (GGA-PBE) results for crystalline RbSi2W at its relaxed geometry.

abc: 6.088 6.088 8.456
angles: 68.90 68.90 90.00
Each line ends with the local moment (μB).
Sites, in units of the cell vectors:
Rb: 0.500 0.500 0.000  0.00
Rb: 0.250 0.750 0.500  0.00
W: 0.000 0.000 0.000  0.48
W: 0.750 0.250 0.500  0.48
Si: 0.875 0.125 0.750  -0.01
Si: 0.875 0.125 0.250  -0.01
Si: 0.375 0.125 0.750  -0.01
Si: 0.875 0.625 0.250  0.00

Properties
Its density is 4.01 Mg/m³.

Least stable: #a

#a
DFT (GGA-PBE) results for crystalline RbYSi3 at its relaxed geometry.

abc: 5.212 5.212 5.212
angles: 90.00 90.00 90.00
Sites, in units of the cell vectors:
Y: 0.500 0.500 0.500
Rb: 0.000 0.000 0.000
Si: 0.000 0.500 0.000
Si: 0.500 0.000 0.000
Si: 0.000 0.000 0.500

Properties
Its density is 3.03 Mg/m³.

#b
DFT (GGA-PBE) results for crystalline RbYSi3 at its relaxed geometry.

abc: 5.465 5.465 5.465
angles: 90.00 90.00 90.00
Sites, in units of the cell vectors:
Rb: 0.500 0.500 0.500
Si: 0.000 0.500 0.000
Si: 0.000 0.000 0.500
Si: 0.500 0.000 0.000
Y: 0.000 0.000 0.000

Properties
Its density is 2.63 Mg/m³.

Least stable: #a

#a
DFT (GGA-PBE) results for crystalline Rb3YSi at its relaxed geometry.

abc: 6.777 6.777 6.777
angles: 90.00 90.00 90.00
Each line ends with the local moment (μB).
Sites, in units of the cell vectors:
Rb: 0.000 0.000 0.500  0.03
Rb: 0.500 0.000 0.000  0.02
Rb: 0.000 0.500 0.000  0.02
Y: 0.500 0.500 0.500  0.50
Si: 0.000 0.000 0.000  0.36

Properties
Its density is 1.99 Mg/m³.

#b
DFT (GGA-PBE) results for crystalline Rb3YSi at its relaxed geometry.

abc: 7.538 7.538 7.538
angles: 90.00 90.00 90.00
Each line ends with the local moment (μB).
Sites, in units of the cell vectors:
Rb: 0.000 0.000 0.500  0.04
Rb: 0.500 0.000 0.000  0.04
Rb: 0.000 0.500 0.000  0.04
Si: 0.500 0.500 0.500  0.60
Y: 0.000 0.000 0.000  0.93

Properties
Its density is 1.45 Mg/m³.

Least stable: #b